Record 1
# YInSi2

Crystalline YInSi2 at its relaxed geometry (PBE-GGA, the Alexandria database).

Lattice parameters (Å, degrees): 3.4715 3.4715 25.8228 90.00 90.00 120.00
With the nearest neighbours (Å) after each atom.
Space group R-3m (No. 166, hexagonal axes)
Inequivalent atoms, fractional coordinates:
Y: 0.0000 0.0000 0.0000 (multiplicity 3)  6 Si 3.00
In: 0.0000 0.0000 0.5000 (multiplicity 3)  6 Si 2.88
Si: 0.0000 0.0000 0.2468 (multiplicity 6)  3 In 2.88, 3 Y 3.00

Computed properties:
ΔE_f (raw): 0.15 eV per atom
ρ: 4.80 Mg/m³
E above lowest polymorph: 0.3626 eV per atom
crystal system: trigonal

---

Record 2
# YIn2Si

Crystalline YIn2Si at its relaxed geometry (PBE-GGA, the Alexandria database).

Lattice parameters (Å, degrees): 3.7271 3.7271 6.7520 90.00 90.00 90.00
With the nearest neighbours (Å) after each atom.
Space group P4/mmm (No. 123)
Inequivalent atoms, fractional coordinates:
Y: 0.0000 0.0000 0.0000 (multiplicity 1)  8 In 3.26, 2 Si 3.38
In: 0.5000 0.5000 0.2849 (multiplicity 2)  1 In 2.91, 4 Si 3.01
Si: 0.0000 0.0000 0.5000 (multiplicity 1)  8 In 3.01

Computed properties:
ΔE_f (raw): -0.09 eV per atom
ρ: 6.14 Mg/m³
E above lowest polymorph: 0.2146 eV per atom
crystal system: tetragonal

---

Record 3
# YInSi

Crystalline YInSi at its relaxed geometry (PBE-GGA, the Alexandria database).

Lattice parameters (Å, degrees): 4.2620 4.2620 4.5769 90.00 90.00 120.00
With the nearest neighbours (Å) after each atom.
Space group P3m1 (No. 156)
Inequivalent atoms, fractional coordinates:
Y: 0.0000 0.0000 0.0000 (multiplicity 1)  3 Si 2.91, 3 In 3.18
In: 0.3333 0.6667 0.4389 (multiplicity 1)  3 Si 2.66
Si: 0.6667 0.3333 0.6604 (multiplicity 1)  3 In 2.66, 3 Y 2.91

Computed properties:
ΔE_f (raw): -0.37 eV per atom
ρ: 5.35 Mg/m³
crystal system: trigonal

---

Record 4
# Y5In2Si2

Crystalline Y5In2Si2 at its relaxed geometry (PBE-GGA, the Alexandria database).

Lattice parameters (Å, degrees): 15.8261 7.6626 7.6687 90.00 90.00 90.00
With the nearest neighbours (Å) after each atom.
Space group Cmce (No. 64)
Inequivalent atoms, fractional coordinates:
Y: 0.0000 0.0000 0.0000 (multiplicity 4)  4 Si 3.05-3.07, 4 Y 3.42
Y: 0.1245 0.1836 0.3199 (multiplicity 16)  3 Si 2.92-3.07, 3 In 3.14-3.22
In: 0.2213 0.0000 0.0000 (multiplicity 8)  7 Y 3.14-3.50
Si: 0.0000 0.1176 0.6199 (multiplicity 8)  1 Si 2.57

Computed properties:
ΔE_f (raw): -0.61 eV per atom
ρ: 5.22 Mg/m³
crystal system: orthorhombic

---

Record 5
# YInSi2

Crystalline YInSi2 at its relaxed geometry (PBE-GGA, the Alexandria database).

Lattice parameters (Å, degrees): 3.4988 3.4988 6.7402 90.00 90.00 90.00
With the nearest neighbours (Å) after each atom.
Space group P4mm (No. 99)
Inequivalent atoms, fractional coordinates:
Y: 0.0000 0.0000 0.0000 (multiplicity 1)  5 Si 2.85-3.07
In: 0.5000 0.5000 0.3239 (multiplicity 1)  5 Si 2.75-3.00
Si: 0.0000 0.0000 0.5768 (multiplicity 1)  4 Si 2.69, 1 Y 2.85, 4 In 3.00
Si: 0.5000 0.5000 0.7315 (multiplicity 1)  4 Si 2.69, 1 In 2.75

Computed properties:
ΔE_f (raw): -0.11 eV per atom
ρ: 5.23 Mg/m³
E above lowest polymorph: 0.1073 eV per atom
crystal system: tetragonal

---

Record 6
# YInSi

Crystalline YInSi at its relaxed geometry (PBE-GGA, the Alexandria database).

Lattice parameters (Å, degrees): 4.3674 5.7025 11.3834 90.00 90.00 90.00
With the nearest neighbours (Å) after each atom.
Space group Fmm2 (No. 42)
Inequivalent atoms, fractional coordinates:
Y: 0.0000 0.0000 0.0000 (multiplicity 4)  2 Si 2.82
In: 0.0000 0.0000 0.2986 (multiplicity 4)  2 Si 2.72
Si: 0.0000 0.0000 0.6568 (multiplicity 4)  2 In 2.72, 2 Y 2.82

Computed properties:
ΔE_f (raw): -0.24 eV per atom
ρ: 5.43 Mg/m³
crystal system: orthorhombic

---

Record 7
# YInSi2

Crystalline YInSi2 at its relaxed geometry (PBE-GGA, the Alexandria database).

Lattice parameters (Å, degrees): 3.7310 3.7310 23.3290 90.00 90.00 120.00
With the nearest neighbours (Å) after each atom.
Space group R3m (No. 160, hexagonal axes)
Inequivalent atoms, fractional coordinates:
Y: 0.0000 0.0000 0.0000 (multiplicity 3)  3 Si 2.92
In: 0.0000 0.0000 0.2268 (multiplicity 3)  3 Si 3.19, 3 Y 3.29
Si: 0.0000 0.0000 0.4594 (multiplicity 3)  3 Si 2.36
Si: 0.0000 0.0000 0.7510 (multiplicity 3)  3 Si 2.36

Computed properties:
ΔE_f (raw): -0.09 eV per atom
ρ: 4.60 Mg/m³
E above lowest polymorph: 0.1280 eV per atom
crystal system: trigonal

---

Record 8
# Y2InSi

Crystalline Y2InSi at its relaxed geometry (PBE-GGA, the Alexandria database).

Lattice parameters (Å, degrees): 3.5519 3.5519 8.0885 90.00 90.00 90.00
With the nearest neighbours (Å) after each atom.
Space group P4mm (No. 99)
Inequivalent atoms, fractional coordinates:
Y: 0.0000 0.0000 0.0000 (multiplicity 1)  4 Si 3.14, 1 In 3.30
Y: 0.5000 0.5000 0.3285 (multiplicity 1)  4 In 3.29, 1 Si 3.54, 8 Y 3.55-3.66
In: 0.0000 0.0000 0.5921 (multiplicity 1)  4 Si 2.88
Si: 0.5000 0.5000 0.7663 (multiplicity 1)  4 In 2.88, 4 Y 3.14

Computed properties:
ΔE_f (raw): -0.15 eV per atom
ρ: 5.22 Mg/m³
crystal system: tetragonal

---

Record 9
# YIn2Si

Crystalline YIn2Si at its relaxed geometry (PBE-GGA, the Alexandria database).

Lattice parameters (Å, degrees): 6.0172 9.3146 3.3997 90.00 90.00 90.00
With the nearest neighbours (Å) after each atom.
Space group Cmmm (No. 65)
Inequivalent atoms, fractional coordinates:
Y: 0.0000 0.0000 0.0000 (multiplicity 2)  2 Si 3.01, 8 In 3.25
In: 0.2500 0.2500 0.5000 (multiplicity 4)  2 In 3.01, 4 Si 3.25, 4 Y 3.25
Si: 0.0000 0.5000 0.0000 (multiplicity 2)  2 Y 3.01, 8 In 3.25

Computed properties:
ΔE_f (raw): -0.10 eV per atom
ρ: 6.04 Mg/m³
E above lowest polymorph: 0.2005 eV per atom
crystal system: orthorhombic

---

Record 10
# Y2InSi

Crystalline Y2InSi at its relaxed geometry (PBE-GGA, the Alexandria database).

Lattice parameters (Å, degrees): 3.5170 3.5170 29.6664 90.00 90.00 120.00
With the nearest neighbours (Å) after each atom.
Space group R3m (No. 160, hexagonal axes)
Inequivalent atoms, fractional coordinates:
Y: 0.0000 0.0000 0.0000 (multiplicity 3)  3 Si 3.08
Y: 0.0000 0.0000 0.2370 (multiplicity 3)  3 In 3.40, 9 Y 3.51-3.52
In: 0.0000 0.0000 0.4786 (multiplicity 3)  3 Si 2.85
Si: 0.0000 0.0000 0.7446 (multiplicity 3)  3 In 2.85, 3 Y 3.08

Computed properties:
ΔE_f (raw): 0.05 eV per atom
ρ: 5.03 Mg/m³
crystal system: trigonal

---

Record 11
# YIn2Si

Crystalline YIn2Si at its relaxed geometry (PBE-GGA, the Alexandria database).

Lattice parameters (Å, degrees): 4.3093 4.3093 4.8908 90.00 90.00 90.00
With the nearest neighbours (Å) after each atom.
Space group P4/mmm (No. 123)
Inequivalent atoms, fractional coordinates:
Y: 0.0000 0.0000 0.0000 (multiplicity 1)  4 Si 3.05, 8 In 3.26
In: 0.0000 0.5000 0.5000 (multiplicity 2)  4 In 3.05, 4 Si 3.26, 4 Y 3.26
Si: 0.5000 0.5000 0.0000 (multiplicity 1)  4 Y 3.05, 8 In 3.26

Computed properties:
ΔE_f (raw): -0.30 eV per atom
ρ: 6.34 Mg/m³
E above lowest polymorph: 0.0000 eV per atom
crystal system: tetragonal

---

Record 12
# YInSi

Crystalline YInSi at its relaxed geometry (PBE-GGA, the Alexandria database).

Lattice parameters (Å, degrees): 5.7763 5.7773 9.0182 90.00 108.56 90.00
With the nearest neighbours (Å) after each atom.
Space group Cc (No. 9)
Inequivalent atoms, fractional coordinates:
Y: 0.0000 0.1247 0.0000 (multiplicity 4)  4 Si 3.03-3.04, 6 In 3.30-3.35
In: 0.4008 0.1247 0.8027 (multiplicity 4)  3 Si 2.62-2.63
Si: 0.0552 0.3751 0.6100 (multiplicity 4)  3 In 2.62-2.63

Computed properties:
ΔE_f (raw): -0.34 eV per atom
ρ: 5.40 Mg/m³
crystal system: monoclinic